# 1
The following is a DFT calculation (GGA-PBEsol) of SrRe3I after structural relaxation.

Summary:
E_form (uncorrected) = 3.96 eV/atom
Symmetry = No. 221
Total energy = -0.3497 Ry/atom

Geometry as extended XYZ:
```
5
Lattice="4.845 0.000 0.000 0.000 4.845 0.000 0.000 0.000 4.845" Properties=species:S:1:pos:R:3 pbc="T T T"
Sr 0.000 0.000 0.000
Re 0.000 0.000 2.422
Re 0.000 2.422 0.000
Re 2.422 0.000 0.000
I 2.422 2.422 2.422
```

# 2
The following is a DFT calculation (GGA-PBEsol) of ZnSnP2I after structural relaxation.

Summary:
E_form (uncorrected) = 1.13 eV/atom
Symmetry = No. 123
Total energy = -0.1988 Ry/atom

Geometry as extended XYZ:
```
5
Lattice="5.118 0.000 0.000 0.000 5.118 0.000 0.000 0.000 5.069" Properties=species:S:1:pos:R:3 pbc="T T T"
Zn 0.000 0.000 0.000
Sn 2.559 2.559 0.000
P 0.000 2.559 2.535
P 2.559 0.000 2.535
I 0.000 0.000 2.535
```

# 3
The following is a DFT calculation (GGA-PBEsol) of Mg4TaCu after structural relaxation.

Summary:
Formation energy = 0.710 eV per atom
Symmetry = No. 216
Total energy = -0.2388 Ry/atom

Geometry as extended XYZ:
```
6
Lattice="0.000 3.845 3.845 3.845 0.000 3.845 3.845 3.845 0.000" Properties=species:S:1:pos:R:3 pbc="T T T"
Mg 0.956 0.956 0.956
Mg 2.889 2.889 0.956
Mg 2.889 0.956 2.889
Mg 0.956 2.889 2.889
Ta 5.768 5.768 5.768
Cu 3.845 3.845 3.845
```

# 4
The following is a DFT calculation (GGA-PBEsol) of ZrPb3C after structural relaxation.

Summary:
Formation energy = 1.066 eV per atom
Symmetry = No. 221
Total energy = -0.3733 Ry/atom

Geometry as extended XYZ:
```
5
Lattice="4.864 0.000 0.000 0.000 4.864 0.000 0.000 0.000 4.864" Properties=species:S:1:pos:R:3 pbc="T T T"
Zr 0.000 0.000 0.000
Pb 0.000 2.432 2.432
Pb 2.432 0.000 2.432
Pb 2.432 2.432 0.000
C 2.432 2.432 2.432
```

# 5
The following is a DFT calculation (GGA-PBEsol) of Sr2LiZn after structural relaxation.

Summary:
Formation energy = -0.016 eV per atom
Symmetry = No. 44
Total energy = -0.1340 Ry/atom

Geometry as extended XYZ:
```
4
Lattice="-1.922 2.774 5.930 1.922 -2.774 5.930 1.922 2.774 -5.930" Properties=species:S:1:pos:R:3 pbc="T T T"
Sr 0.000 0.000 0.000
Sr 0.000 2.774 2.414
Li 0.000 0.000 4.734
Zn 1.922 0.000 2.724
```

# 6
The following is a DFT calculation (GGA-PBEsol) of FeRe4 after structural relaxation.

Summary:
Formation energy = 0.081 eV per atom
Symmetry = No. 87
Total energy = -0.9097 Ry/atom

Geometry as extended XYZ:
```
5
Lattice="-3.008 3.008 1.910 3.008 -3.008 1.910 3.008 3.008 -1.910" Properties=species:S:1:pos:R:3 pbc="T T T"
Fe 0.000 0.000 0.000
Re 2.369 1.239 0.000
Re 1.769 -0.639 1.910
Re 1.239 3.647 0.000
Re 0.639 1.769 1.910
```

no.,mass density (Mg/m³)
1,11.29
2,4.66
3,4.99
4,10.46
5,3.25
6,19.24